No. 1
KLiFe3: optimized geometry, GGA-PBE.

- Space-group type: Pm-3m (221)

Cell lengths 4.7084, 4.7084, 4.7084 Å; angles 90.00, 90.00, 90.00 degrees
With the nearest neighbours (Å) after each atom.
Element x y z (fractional)
1 K 0.0000 0.0000 0.0000  6 Fe 2.35
2 Fe 0.0000 0.5000 0.0000  2 K 2.35
3 Fe 0.0000 0.0000 0.5000  2 K 2.35
4 Fe 0.5000 0.0000 0.0000  2 K 2.35
5 Li 0.5000 0.5000 0.5000  12 Fe 3.33



No. 2
KLi2Fe: optimized geometry, GGA-PBE.

- Space-group type: Fm-3m (225)

Cell lengths 5.1449, 5.1449, 5.1449 Å; angles 60.00, 60.00, 60.00 degrees
With the nearest neighbours (Å) after each atom.
Element x y z (fractional)
1 K 0.0000 0.0000 0.0000  8 Li 3.15
2 Fe 0.5000 0.5000 0.5000  8 Li 3.15
3 Li 0.2500 0.2500 0.2500  4 Fe 3.15, 4 K 3.15
4 Li 0.7500 0.7500 0.7500  4 K 3.15, 4 Fe 3.15



No. 3
KLi2Fe: optimized geometry, GGA-PBE.

- Space-group type: Pmmm (47)

Cell lengths 2.9922, 5.7742, 5.6138 Å; angles 90.00, 90.00, 90.00 degrees
With the nearest neighbours (Å) after each atom.
Element x y z (fractional)
1 Fe 0.5000 0.0000 0.5000  2 Fe 2.99, 4 Li 3.18, 4 K 3.25
2 K 0.0000 0.5000 0.5000  2 K 2.99, 4 Li 3.18, 4 Fe 3.25
3 Li 0.0000 0.0000 0.0000  6 Li 2.99-3.25, 4 Fe 3.18
4 Li 0.5000 0.5000 0.0000  6 Li 2.99-3.25, 4 K 3.18



No. 4
KLi2Fe: optimized geometry, GGA-PBE.

- Space-group type: F-43m (216)

Cell lengths 5.2631, 5.2631, 5.2631 Å; angles 60.00, 60.00, 60.00 degrees
With the nearest neighbours (Å) after each atom.
Element x y z (fractional)
1 Fe 0.5000 0.5000 0.5000  4 Li 3.22, 4 K 3.22
2 K 0.7500 0.7500 0.7500  4 Fe 3.22, 4 Li 3.22
3 Li 0.0000 0.0000 0.0000  4 K 3.22, 4 Li 3.22
4 Li 0.2500 0.2500 0.2500  4 Fe 3.22, 4 Li 3.22



No. 5
KLi2Fe: optimized geometry, GGA-PBE.

- Space-group type: Imm2 (44)

Cell lengths 6.4912, 6.4912, 6.4912 Å; angles 153.91, 128.57, 58.57 degrees
With the nearest neighbours (Å) after each atom.
Element x y z (fractional)
1 Fe 0.4653 0.4653 0.0000  2 Li 2.63, 2 Fe 2.93
2 K 0.7410 0.2410 0.5000  2 K 2.93, 4 Li 3.19
3 Li 0.0216 0.0216 0.0000  4 Li 2.93-3.19, 4 Fe 3.24
4 Li 0.2721 0.7721 0.5000  2 Fe 2.63, 2 Li 2.93



No. 6
KLi2Fe: optimized geometry, GGA-PBE.

- Space-group type: Pmm2 (25)

Cell lengths 2.8518, 4.2202, 8.0517 Å; angles 90.00, 90.00, 90.00 degrees
With the nearest neighbours (Å) after each atom.
Element x y z (fractional)
1 Fe 0.0000 0.0000 0.4088  5 Li 2.57-2.74, 2 Fe 2.85
2 K 0.5000 0.5000 0.7196  2 K 2.85
3 Li 0.0000 0.0000 0.0895  1 Fe 2.57, 2 Li 2.85
4 Li 0.5000 0.5000 0.2821  4 Fe 2.74, 6 Li 2.85-2.98



No. 7
KLiFe: optimized geometry, GGA-PBE.

- Space-group type: F-43m (216)

Cell lengths 5.2684, 5.2684, 5.2684 Å; angles 60.00, 60.00, 60.00 degrees
With the nearest neighbours (Å) after each atom.
Element x y z (fractional)
1 Fe 0.5000 0.5000 0.5000  4 K 3.23
2 K 0.2500 0.2500 0.2500  4 Fe 3.23, 4 Li 3.23
3 Li 0.0000 0.0000 0.0000  4 K 3.23



No. 8
KLiFe: optimized geometry, GGA-PBE.

- Space-group type: I4mm (107)

Cell lengths 7.4988, 7.4991, 3.1859 Å; angles 77.73, 77.73, 24.53 degrees
With the nearest neighbours (Å) after each atom.
Element x y z (fractional)
1 Fe 0.0290 0.0291 0.9710  4 Li 2.66
2 K 0.3433 0.3432 0.6567  4 K 3.19, 4 Fe 3.48
3 Li 0.6277 0.6277 0.3723  4 Fe 2.66



No. 9
KLi2Fe: optimized geometry, GGA-PBE.

- Space-group type: R-3m (166)

Cell lengths 10.7727, 10.7727, 10.7727 Å; angles 17.09, 17.09, 17.09 degrees
With the nearest neighbours (Å) after each atom.
Element x y z (fractional)
1 Fe 0.2500 0.2500 0.2500  6 Li 2.72
2 K 0.7500 0.7500 0.7500  6 K 3.20
3 Li 0.9793 0.9793 0.9793  3 Fe 2.72
4 Li 0.5207 0.5207 0.5207  3 Fe 2.72



No. 10
KLi3Fe: optimized geometry, GGA-PBE.

- Space-group type: Pm-3m (221)

Cell lengths 5.2419, 5.2419, 5.2419 Å; angles 90.00, 90.00, 90.00 degrees
With the nearest neighbours (Å) after each atom.
Element x y z (fractional)
1 K 0.5000 0.5000 0.5000  12 Li 3.71
2 Fe 0.0000 0.0000 0.0000  6 Li 2.62
3 Li 0.0000 0.5000 0.0000  2 Fe 2.62
4 Li 0.0000 0.0000 0.5000  2 Fe 2.62
5 Li 0.5000 0.0000 0.0000  2 Fe 2.62



No. 11
KLiFe: optimized geometry, GGA-PBE.

- Space-group type: Imm2 (44)

Cell lengths 6.5880, 6.5880, 6.5880 Å; angles 155.19, 141.30, 46.52 degrees
With the nearest neighbours (Å) after each atom.
Element x y z (fractional)
1 Fe 0.0504 0.0504 0.0000  4 Li 2.71, 2 Fe 2.83
2 K 0.3362 0.3362 0.0000  2 K 2.83
3 Li 0.6134 0.6134 0.0000  4 Fe 2.71, 2 Li 2.83



No. 12
KLi2Fe: optimized geometry, GGA-PBE.

- Space-group type: P4/mmm (123)

Cell lengths 2.9116, 5.4737, 5.4737 Å; angles 90.00, 90.00, 90.00 degrees
With the nearest neighbours (Å) after each atom.
Element x y z (fractional)
1 Fe 0.5000 0.5000 0.0000  2 Fe 2.91, 8 Li 3.10
2 K 0.5000 0.0000 0.5000  2 K 2.91, 8 Li 3.10
3 Li 0.0000 0.0000 0.0000  2 Li 2.91, 4 Fe 3.10, 4 K 3.10
4 Li 0.0000 0.5000 0.5000  2 Li 2.91, 4 Fe 3.10, 4 K 3.10



| no. | energy above the most stable polymorph in this dataset (meV/atom) | total DFT energy (no corrections) (eV/atom) | DFT formation energy (eV/atom) |
| --- | --- | --- | --- |
| 1 | 948.1 | -3.354 | 2.325 |
| 2 | 179.3 | -2.615 | 0.732 |
| 3 | 237.2 | -2.557 | 0.790 |
| 4 | 237.5 | -2.556 | 0.790 |
| 5 | 141.5 | -2.652 | 0.694 |
| 6 | 39.3 | -2.755 | 0.592 |
| 7 | 537.9 | -2.483 | 1.342 |
| 8 | 2.3 | -3.018 | 0.806 |
| 9 | 100.0 | -2.694 | 0.653 |
| 10 | 0.0 | -2.465 | 0.595 |
| 11 | 0.0 | -3.021 | 0.804 |
| 12 | 186.7 | -2.607 | 0.740 |